(1)
Crystalline CeTm2Sb at its relaxed geometry. Source: Alexandria, functional PBE. Values from VASP.

```
&SYSTEM
  ibrav = 0, nat = 4, ntyp = 3
/
ATOMIC_SPECIES
Ce 140.12 Ce.upf
Tm 168.93 Tm.upf
Sb 121.76 Sb.upf
CELL_PARAMETERS angstrom
0.000 3.750 3.750
3.750 0.000 3.750
3.750 3.750 0.000
ATOMIC_POSITIONS crystal
Ce 0.000 0.000 0.000
Tm 0.250 0.250 0.250
Tm 0.750 0.750 0.750
Sb 0.500 0.500 0.500
```

Energy (eV/atom): -4.9373
E_form (uncorrected) (eV/atom): -0.19
Offset from the most stable computed form (meV per atom): 270
Crystal system: cubic
SG: Fm-3m

=====

(2)
Crystalline CeTm4Sb5 at its relaxed geometry. Source: Alexandria, functional PBE. Values from VASP.

```
&SYSTEM
  ibrav = 0, nat = 10, ntyp = 3
/
ATOMIC_SPECIES
Ce 140.12 Ce.upf
Tm 168.93 Tm.upf
Sb 121.76 Sb.upf
CELL_PARAMETERS angstrom
7.240 -2.188 0.000
7.240 2.188 0.000
-5.260 0.000 9.309
ATOMIC_POSITIONS crystal
Ce 0.000 0.000 0.000
Tm 0.201 0.201 0.795
Tm 0.402 0.402 0.601
Tm 0.598 0.598 0.399
Tm 0.799 0.799 0.205
Sb 0.000 0.000 0.500
Sb 0.202 0.202 0.306
Sb 0.396 0.396 0.102
Sb 0.604 0.604 0.898
Sb 0.798 0.798 0.694
```

Energy (eV/atom): -5.5051
E_form (uncorrected) (eV/atom): -1.06
Crystal system: monoclinic
SG: C2/m

=====

(3)
Crystalline CeTm2Sb at its relaxed geometry. Source: Alexandria, functional PBE. Values from VASP.

```
&SYSTEM
  ibrav = 0, nat = 4, ntyp = 3
/
ATOMIC_SPECIES
Ce 140.12 Ce.upf
Tm 168.93 Tm.upf
Sb 121.76 Sb.upf
CELL_PARAMETERS angstrom
4.809 0.000 0.000
0.000 4.809 0.000
0.000 0.000 4.603
ATOMIC_POSITIONS crystal
Ce 0.000 0.000 0.000
Tm 0.000 0.500 0.500
Tm 0.500 0.000 0.500
Sb 0.500 0.500 0.000
```

Energy (eV/atom): -5.2071
E_form (uncorrected) (eV/atom): -0.46
Offset from the most stable computed form (meV per atom): 0
Crystal system: tetragonal
SG: P4/mmm

=====

(4)
Crystalline CeTm4Sb2 at its relaxed geometry. Source: Alexandria, functional PBE. Values from VASP.

```
&SYSTEM
  ibrav = 0, nat = 14, ntyp = 3
/
ATOMIC_SPECIES
Ce 140.12 Ce.upf
Tm 168.93 Tm.upf
Sb 121.76 Sb.upf
CELL_PARAMETERS angstrom
7.733 0.000 0.000
0.000 6.423 0.000
-3.467 0.000 8.066
ATOMIC_POSITIONS crystal
Ce 0.104 0.250 0.365
Ce 0.896 0.750 0.635
Tm 0.184 0.750 0.077
Tm 0.340 0.006 0.794
Tm 0.340 0.494 0.794
Tm 0.461 0.750 0.513
Tm 0.539 0.250 0.487
Tm 0.660 0.506 0.206
Tm 0.660 0.994 0.206
Tm 0.816 0.250 0.923
Sb 0.044 0.750 0.357
Sb 0.273 0.250 0.090
Sb 0.727 0.750 0.910
Sb 0.956 0.250 0.643
```

Energy (eV/atom): -5.0656
E_form (uncorrected) (eV/atom): -0.48
Crystal system: monoclinic
SG: P2_1/m